No. 1
VASP calculation (GGA-PBE) on a geometry-optimized Rb3Th3UTe8 structure.

Unit cell a=10.293 b=10.293 c=10.293 alpha=51.60 beta=51.60 gamma=51.60
Fractional positions:
Rb 0.000 0.500 0.500
Rb 0.500 0.000 0.500
Rb 0.500 0.500 0.000
Th 0.000 0.000 0.500
Th 0.000 0.500 0.000
Th 0.500 0.000 0.000
U 0.500 0.500 0.500
Te 0.234 0.735 0.735
Te 0.237 0.237 0.237
Te 0.265 0.265 0.766
Te 0.265 0.766 0.265
Te 0.735 0.234 0.735
Te 0.735 0.735 0.234
Te 0.763 0.763 0.763
Te 0.766 0.265 0.265

Total energy (eV/f.u.): -77.94
Total magnetization (μB/atom): 0.252
Density of states at the Fermi level (states/eV per cell): 13.3
Formation energy without anion corrections (eV/atom): -1.09

***

No. 2
VASP calculation (GGA-PBE) on a geometry-optimized BaAl3F structure.

Unit cell a=6.380 b=6.380 c=6.380 alpha=90.00 beta=90.00 gamma=90.00
Fractional positions:
Ba 0.000 0.000 0.000
Al 0.000 0.000 0.500
Al 0.000 0.500 0.000
Al 0.500 0.000 0.000
F 0.500 0.500 0.500

Total energy (eV/f.u.): -9.61
Total magnetization (μB/atom): 0.000
Density of states at the Fermi level (states/eV per cell): 7.4
Formation energy without anion corrections (eV/atom): 1.08

***

No. 3
VASP calculation (GGA-PBE) on a geometry-optimized LiAg6Bi structure.

Unit cell a=6.564 b=6.564 c=3.515 alpha=90.00 beta=90.00 gamma=90.00
Fractional positions:
Li 0.000 0.000 0.000
Ag 0.000 0.500 0.000
Ag 0.224 0.224 0.500
Ag 0.224 0.776 0.500
Ag 0.500 0.000 0.000
Ag 0.776 0.224 0.500
Ag 0.776 0.776 0.500
Bi 0.500 0.500 0.000

Total energy (eV/f.u.): -23.07
Total magnetization (μB/atom): 0.000
Formation energy from the elements (eV/atom): -0.02
Density of states at the Fermi level (states/eV per cell): 1.6

***

No. 4
VASP calculation (GGA-PBE) on a geometry-optimized PmHo4Th3 structure.

Unit cell a=7.939 b=7.939 c=6.158 alpha=104.91 beta=104.91 gamma=126.69
Fractional positions:
Pm 0.000 0.000 0.000
Ho 0.253 0.747 0.000
Ho 0.376 0.624 0.500
Ho 0.624 0.376 0.500
Ho 0.747 0.253 0.000
Th 0.123 0.877 0.500
Th 0.500 0.500 0.000
Th 0.877 0.123 0.500

Total energy (eV/f.u.): -44.94
Total magnetization (μB/atom): 0.000
Formation energy from the elements (eV/atom): 0.05
Density of states at the Fermi level (states/eV per cell): 11.9

***

No. 5
VASP calculation (GGA-PBE) on a geometry-optimized MnCdAg2Sn structure.

Unit cell a=5.257 b=5.257 c=5.174 alpha=90.00 beta=90.00 gamma=90.00
Fractional positions:
Mn 0.000 0.000 0.000
Cd 0.500 0.500 0.000
Ag 0.000 0.500 0.500
Ag 0.500 0.000 0.500
Sn 0.000 0.000 0.500

Total energy (eV/f.u.): -16.56
Total magnetization (μB/atom): 0.926
Formation energy from the elements (eV/atom): 0.65
Density of states at the Fermi level (states/eV per cell): 3.0

***

No. 6
VASP calculation (GGA-PBE) on a geometry-optimized NbTc2Os2 structure.

Unit cell a=7.514 b=7.514 c=2.781 alpha=90.00 beta=90.00 gamma=90.00
Fractional positions:
Nb 0.000 0.000 0.000
Nb 0.500 0.500 0.000
Tc 0.123 0.377 0.000
Tc 0.377 0.877 0.000
Tc 0.623 0.123 0.000
Tc 0.877 0.623 0.000
Os 0.171 0.671 0.500
Os 0.329 0.171 0.500
Os 0.671 0.829 0.500
Os 0.829 0.329 0.500

Total energy (eV/f.u.): -52.91
Total magnetization (μB/atom): 0.000
Formation energy from the elements (eV/atom): 0.07
Density of states at the Fermi level (states/eV per cell): 9.2

***

No. 7
VASP calculation (GGA-PBE) on a geometry-optimized Nb6NiOs structure.

Unit cell a=7.181 b=7.181 c=7.181 alpha=142.56 beta=142.56 gamma=53.98
Fractional positions:
Nb 0.121 0.621 0.500
Nb 0.250 0.250 0.000
Nb 0.379 0.879 0.500
Nb 0.621 0.121 0.500
Nb 0.750 0.750 0.000
Nb 0.879 0.379 0.500
Ni 0.000 0.000 0.000
Os 0.500 0.500 0.000

Total energy (eV/f.u.): -78.28
Total magnetization (μB/atom): 0.000
Formation energy from the elements (eV/atom): -0.11
Density of states at the Fermi level (states/eV per cell): 8.0

***

No. 8
VASP calculation (GGA-PBE) on a geometry-optimized YZrCo2 structure.

Unit cell a=5.790 b=5.790 c=5.790 alpha=105.85 beta=105.85 gamma=116.99
Fractional positions:
Y 0.000 0.000 0.000
Y 0.750 0.250 0.500
Zr 0.250 0.750 0.500
Zr 0.500 0.500 0.000
Co 0.146 0.125 0.521
Co 0.375 0.854 0.979
Co 0.604 0.625 0.479
Co 0.875 0.396 0.021

Total energy (eV/f.u.): -28.42
Total magnetization (μB/atom): 0.000
Formation energy from the elements (eV/atom): 0.20
Density of states at the Fermi level (states/eV per cell): 4.7

***

No. 9
VASP calculation (GGA-PBE) on a geometry-optimized TlAgTe2 structure.

Unit cell a=6.295 b=6.295 c=6.295 alpha=144.62 beta=125.75 gamma=66.45
Fractional positions:
Tl 0.000 0.000 0.000
Ag 0.279 0.779 0.500
Te 0.482 0.482 0.000
Te 0.717 0.217 0.500

Total energy (eV/f.u.): -11.08
Total magnetization (μB/atom): 0.000
Density of states at the Fermi level (states/eV per cell): 2.0
Formation energy without anion corrections (eV/atom): 0.10

***

No. 10
VASP calculation (GGA-PBE) on a geometry-optimized ZrReIr2 structure.

Unit cell a=2.881 b=3.888 c=5.884 alpha=90.00 beta=90.00 gamma=90.00
Fractional positions:
Zr 0.000 0.000 0.000
Re 0.500 0.500 0.695
Ir 0.000 0.000 0.514
Ir 0.500 0.500 0.242

Total energy (eV/f.u.): -39.74
Total magnetization (μB/atom): 0.000
Formation energy from the elements (eV/atom): -0.26
Density of states at the Fermi level (states/eV per cell): 3.5

***

No. 11
VASP calculation (GGA-PBE) on a geometry-optimized BaZn4Cu9 structure.

Unit cell a=8.470 b=8.470 c=8.470 alpha=120.39 beta=120.39 gamma=89.32
Fractional positions:
Ba 0.250 0.250 0.000
Ba 0.750 0.750 0.000
Zn 0.062 0.562 0.863
Zn 0.199 0.062 0.500
Zn 0.301 0.801 0.863
Zn 0.438 0.301 0.500
Zn 0.562 0.699 0.500
Zn 0.699 0.199 0.137
Zn 0.801 0.938 0.500
Zn 0.938 0.438 0.137
Cu 0.000 0.500 0.500
Cu 0.064 0.207 0.271
Cu 0.065 0.789 0.500
Cu 0.207 0.936 0.143
Cu 0.211 0.711 0.276
Cu 0.289 0.565 0.500
Cu 0.293 0.436 0.729
Cu 0.435 0.935 0.724
Cu 0.436 0.707 0.143
Cu 0.500 0.000 0.500
Cu 0.564 0.293 0.857
Cu 0.565 0.065 0.276
Cu 0.707 0.564 0.271
Cu 0.711 0.435 0.500
Cu 0.789 0.289 0.724
Cu 0.793 0.064 0.857
Cu 0.935 0.211 0.500
Cu 0.936 0.793 0.729

Total energy (eV/f.u.): -45.23
Total magnetization (μB/atom): 0.000
Formation energy from the elements (eV/atom): -0.10
Density of states at the Fermi level (states/eV per cell): 9.6

***

No. 12
VASP calculation (GGA-PBE) on a geometry-optimized LiTaP2N6 structure.

Unit cell a=6.786 b=6.786 c=5.325 alpha=107.62 beta=107.62 gamma=81.36
Fractional positions:
Li 0.224 0.776 0.750
Li 0.776 0.224 0.250
Ta 0.384 0.616 0.250
Ta 0.616 0.384 0.750
P 0.131 0.282 0.698
P 0.282 0.131 0.198
P 0.718 0.869 0.802
P 0.869 0.718 0.302
N 0.106 0.191 0.366
N 0.108 0.642 0.297
N 0.191 0.106 0.866
N 0.305 0.452 0.836
N 0.358 0.892 0.203
N 0.452 0.305 0.336
N 0.548 0.695 0.664
N 0.642 0.108 0.797
N 0.695 0.548 0.164
N 0.809 0.894 0.134
N 0.892 0.358 0.703
N 0.894 0.809 0.634

Total energy (eV/f.u.): -78.54
Total magnetization (μB/atom): 0.000
Density of states at the Fermi level (states/eV per cell): 8.3
Formation energy without anion corrections (eV/atom): -0.40